# CaPAu2

Crystalline CaPAu2 at its relaxed geometry (PBEsol, Alexandria).

Summary:
For the total energy, the calculation gives -4.55 eV/atom. Its energy of formation from the pure elements is -604.0 meV/atom.

Structure (POSCAR):
```
CaPAu2
1.0
4.288 0.000 0.000
0.000 4.289 -0.042
-2.144 -1.819 4.616
Au Ca P
2 1 1
Cartesian
0.000 0.612 0.771 Au
2.144 2.921 2.636 Au
0.000 0.792 4.020 Ca
0.000 2.759 1.701 P
```

=====

# CaP2Au

Crystalline CaP2Au at its relaxed geometry (PBEsol, Alexandria).

Summary:
As for the energy above the most stable polymorph in this dataset: 0.277 eV/atom. For the total energy, the calculation gives -4.68 eV/atom. Its energy of formation from the pure elements is -273.7 meV/atom.

Structure (POSCAR):
```
CaP2Au
1.0
3.770 0.030 0.000
-0.034 4.311 0.000
0.000 0.000 4.310
P Ca Au
2 1 1
Cartesian
-0.017 2.155 2.155 P
0.000 0.000 0.000 P
1.868 2.170 0.000 Ca
1.885 0.015 2.155 Au
```

=====

Question: Look up the energy of formation from the pure elements of the second one.
Answer: -273.7 meV/atom

=====

Question: Which formula does entry 2 have?
Answer: CaP2Au

=====

What did the second record say?
# CaP2Au

Crystalline CaP2Au at its relaxed geometry (PBEsol, Alexandria).

Summary:
As for the energy above the most stable polymorph in this dataset: 0.277 eV/atom. For the total energy, the calculation gives -4.68 eV/atom. Its energy of formation from the pure elements is -273.7 meV/atom.

Structure (POSCAR):
```
CaP2Au
1.0
3.770 0.030 0.000
-0.034 4.311 0.000
0.000 0.000 4.310
P Ca Au
2 1 1
Cartesian
-0.017 2.155 2.155 P
0.000 0.000 0.000 P
1.868 2.170 0.000 Ca
1.885 0.015 2.155 Au
```

=====

Question: Look up the energy of formation from the pure elements of the second one.
Answer: -273.7 meV/atom